1.
Entry from Alexandria: Y2HfSO after structural relaxation (PBE).

a b c (Å): 5.483 5.483 3.753
angles (deg): 90.00 90.00 90.00
Sites, in units of the cell vectors:
1 Y 0.000 0.500 0.000
2 Y 0.500 0.000 0.000
3 Hf 0.000 0.000 0.500
4 S 0.500 0.500 0.000
5 O 0.500 0.500 0.500

Values from the calculation:
V (Å³/atom): 22.6
Formation energy (no corrections) (eV/atom): -0.152
Fermi-level density of states (states/eV/f.u.): 4.68

2.
Entry from Alexandria: Cs2AgIBr6 after structural relaxation (PBE).

a b c (Å): 8.317 8.317 8.317
angles (deg): 119.98 119.98 90.03
Sites, in units of the cell vectors:
1 Cs 0.250 0.750 0.500
2 Cs 0.750 0.250 0.500
3 Ag 0.000 0.000 0.000
4 I 0.500 0.500 0.000
5 Br 0.217 0.217 0.433
6 Br 0.217 0.783 0.000
7 Br 0.270 0.270 0.000
8 Br 0.730 0.730 0.000
9 Br 0.783 0.217 0.000
10 Br 0.783 0.783 0.567

Values from the calculation:
V (Å³/atom): 40.7
Formation energy (no corrections) (eV/atom): -0.831
Fermi-level density of states (states/eV/f.u.): 0.01

3.
Entry from Alexandria: Sm3NiTeBr after structural relaxation (PBE).

a b c (Å): 7.400 3.986 11.484
angles (deg): 90.00 99.84 90.00
Sites, in units of the cell vectors:
1 Sm 0.203 0.250 0.003
2 Sm 0.241 0.250 0.614
3 Sm 0.258 0.750 0.328
4 Sm 0.742 0.250 0.672
5 Sm 0.759 0.750 0.386
6 Sm 0.797 0.750 0.997
7 Ni 0.494 0.750 0.555
8 Ni 0.506 0.250 0.445
9 Te 0.056 0.750 0.799
10 Te 0.944 0.250 0.201
11 Br 0.474 0.750 0.132
12 Br 0.526 0.250 0.868

Values from the calculation:
V (Å³/atom): 27.8
Formation energy (no corrections) (eV/atom): -0.924
Fermi-level density of states (states/eV/f.u.): 3.83

4.
Entry from Alexandria: Dy8CuHg2 after structural relaxation (PBE).

a b c (Å): 9.309 9.309 6.815
angles (deg): 104.03 104.03 32.32
Sites, in units of the cell vectors:
1 Dy 0.023 0.023 0.276
2 Dy 0.201 0.201 0.811
3 Dy 0.343 0.343 0.532
4 Dy 0.410 0.410 0.053
5 Dy 0.590 0.590 0.947
6 Dy 0.657 0.657 0.468
7 Dy 0.799 0.799 0.189
8 Dy 0.977 0.977 0.724
9 Cu 0.500 0.500 0.500
10 Hg 0.188 0.188 0.234
11 Hg 0.812 0.812 0.766

Values from the calculation:
V (Å³/atom): 27.8
DFT formation energy (eV per atom): -0.185
Fermi-level density of states (states/eV/f.u.): 9.65

5.
Entry from Alexandria: UNiPSe after structural relaxation (PBE).

a b c (Å): 3.949 3.949 8.816
angles (deg): 90.00 90.00 90.00
Sites, in units of the cell vectors:
1 U 0.250 0.250 0.248
2 U 0.750 0.750 0.752
3 Ni 0.250 0.750 0.500
4 Ni 0.750 0.250 0.500
5 P 0.250 0.250 0.646
6 P 0.750 0.750 0.354
7 Se 0.250 0.750 0.000
8 Se 0.750 0.250 0.000

Values from the calculation:
V (Å³/atom): 17.2
Formation energy (no corrections) (eV/atom): -0.764
Fermi-level density of states (states/eV/f.u.): 5.63

6.
Entry from Alexandria: SrNpNiN3 after structural relaxation (PBE).

a b c (Å): 7.301 3.501 7.325
angles (deg): 90.00 103.46 90.00
Sites, in units of the cell vectors:
1 Sr 0.201 0.250 0.238
2 Sr 0.799 0.750 0.762
3 Np 0.329 0.750 0.837
4 Np 0.671 0.250 0.163
5 Ni 0.079 0.250 0.593
6 Ni 0.921 0.750 0.407
7 N 0.156 0.250 0.870
8 N 0.188 0.750 0.537
9 N 0.461 0.750 0.143
10 N 0.539 0.250 0.857
11 N 0.812 0.250 0.463
12 N 0.844 0.750 0.130

Values from the calculation:
V (Å³/atom): 15.2
Formation energy (no corrections) (eV/atom): -0.699
Fermi-level density of states (states/eV/f.u.): 6.32

7.
Entry from Alexandria: CsK2CdPt after structural relaxation (PBE).

a b c (Å): 6.243 6.243 5.504
angles (deg): 90.00 90.00 90.00
Sites, in units of the cell vectors:
1 Cs 0.000 0.000 0.000
2 K 0.000 0.500 0.500
3 K 0.500 0.000 0.500
4 Cd 0.500 0.500 0.000
5 Pt 0.500 0.500 0.500

Values from the calculation:
V (Å³/atom): 42.9
DFT formation energy (eV per atom): -0.031
Distance to the lowest polymorph of the same formula (eV per atom): 0.000
Fermi-level density of states (states/eV/f.u.): 3.88

8.
Entry from Alexandria: LaErPtI after structural relaxation (PBE).

a b c (Å): 8.441 8.441 8.441
angles (deg): 28.84 28.84 28.84
Sites, in units of the cell vectors:
1 La 0.000 0.000 0.000
2 Er 0.209 0.209 0.209
3 Pt 0.599 0.599 0.599
4 I 0.775 0.775 0.775

Values from the calculation:
V (Å³/atom): 30.9
Formation energy (no corrections) (eV/atom): -1.153
Fermi-level density of states (states/eV/f.u.): 4.36

9.
Entry from Alexandria: Ta2ZnIO after structural relaxation (PBE).

a b c (Å): 4.829 4.829 5.054
angles (deg): 90.00 90.00 90.00
Sites, in units of the cell vectors:
1 Ta 0.000 0.500 0.000
2 Ta 0.500 0.000 0.000
3 Zn 0.000 0.000 0.000
4 I 0.000 0.000 0.500
5 O 0.500 0.500 0.500

Values from the calculation:
V (Å³/atom): 23.6
Formation energy (no corrections) (eV/atom): 2.004
Fermi-level density of states (states/eV/f.u.): 6.24

10.
Entry from Alexandria: KCa2Au2 after structural relaxation (PBE).

a b c (Å): 7.150 7.150 7.150
angles (deg): 138.61 138.61 59.98
Sites, in units of the cell vectors:
1 K 0.000 0.000 0.000
2 Ca 0.250 0.750 0.500
3 Ca 0.750 0.250 0.500
4 Au 0.386 0.386 0.000
5 Au 0.614 0.614 0.000

Values from the calculation:
V (Å³/atom): 31.6
DFT formation energy (eV per atom): -0.484
Fermi-level density of states (states/eV/f.u.): 2.88

11.
Entry from Alexandria: PmTlH after structural relaxation (PBE).

a b c (Å): 4.032 4.580 6.839
angles (deg): 90.00 106.84 90.00
Sites, in units of the cell vectors:
1 Pm 0.169 0.250 0.333
2 Pm 0.831 0.750 0.667
3 Tl 0.422 0.250 0.860
4 Tl 0.578 0.750 0.140
5 H 0.244 0.750 0.488
6 H 0.756 0.250 0.512

Values from the calculation:
V (Å³/atom): 20.1
Distance to the lowest polymorph of the same formula (eV per atom): 0.000
Fermi-level density of states (states/eV/f.u.): 1.31

12.
Entry from Alexandria: Th6TeRu3Se2 after structural relaxation (PBE).

a b c (Å): 9.789 9.789 8.882
angles (deg): 108.76 108.76 24.28
Sites, in units of the cell vectors:
1 Th 0.009 0.009 0.220
2 Th 0.321 0.321 0.438
3 Th 0.340 0.340 0.897
4 Th 0.660 0.660 0.103
5 Th 0.679 0.679 0.562
6 Th 0.991 0.991 0.780
7 Te 0.500 0.500 0.500
8 Ru 0.167 0.167 0.330
9 Ru 0.500 0.500 0.000
10 Ru 0.833 0.833 0.670
11 Se 0.167 0.167 0.832
12 Se 0.833 0.833 0.168

Values from the calculation:
V (Å³/atom): 27.5
Formation energy (no corrections) (eV/atom): -1.001
Fermi-level density of states (states/eV/f.u.): 3.95

no.,M_tot (Bohr magnetons per cell),density (g/cm³)
1,0.00,5.95
2,0.00,4.00
3,0.00,7.14
4,0.00,9.59
5,3.20,9.82
6,2.44,7.76
7,0.00,4.01
8,0.00,8.43
9,1.39,8.03
10,0.00,5.39
11,0.00,9.63
12,0.00,9.95